[1]
A relaxed structure of LiTlW. Source: Alexandria via LeMat-Bulk, functional PBE.

Lattice parameters (Å, degrees): 4.5963 4.5963 2.8953 90.00 90.00 120.00
Space group P-6m2 (No. 187)
Asymmetric unit:
1 Li 0.0000 0.0000 0.0000 (multiplicity 1)
2 Tl 0.6667 0.3333 0.0000 (multiplicity 1)
3 W 0.3333 0.6667 0.5000 (multiplicity 1)

Summary:
Size of the total moment: 1.05 μB/cell
Calculated formation energy: 825 meV per atom
ΔE to the lowest computed polymorph: 0.192 eV per atom

***

[2]
A relaxed structure of Li2TlW. Source: Alexandria via LeMat-Bulk, functional PBE.

Lattice parameters (Å, degrees): 2.867 5.013 10.080 90.00 90.00 90.00
Space group Immm (No. 71)
Asymmetric unit:
1 Li 0.000 0.000 0.249 (multiplicity 4)
2 Tl 0.000 0.500 0.000 (multiplicity 2)
3 W 0.000 0.500 0.500 (multiplicity 2)

Summary:
Size of the total moment: 0.00 μB/cell
Calculated formation energy: 551 meV per atom
ΔE to the lowest computed polymorph: 0.140 eV per atom